#w
Crystalline NbNi2Pd at its relaxed geometry, computed with PBE-GGA.

Cell: 8.743 8.743 4.724 Å, 90.00 90.00 161.53°
Fractional coordinates of all 8 atoms:
Nb (0.111, 0.889, 0.750)
Nb (0.889, 0.111, 0.250)
Ni (0.266, 0.734, 0.250)
Ni (0.500, 0.500, 0.000)
Ni (0.500, 0.500, 0.500)
Ni (0.734, 0.266, 0.750)
Pd (0.363, 0.637, 0.750)
Pd (0.637, 0.363, 0.250)

Results
**SG**: Cmcm, No. 63

---

#x
Crystalline NbNi2Pd at its relaxed geometry, computed with PBE-GGA.

Cell: 3.928 3.928 3.555 Å, 90.00 90.00 90.00°
Fractional coordinates of all 4 atoms:
Nb (0.000, 0.000, 0.000)
Ni (0.000, 0.500, 0.500)
Ni (0.500, 0.000, 0.500)
Pd (0.500, 0.500, 0.000)

Results
**SG**: P4/mmm, No. 123

---

#y
Crystalline NbNi2Pd at its relaxed geometry, computed with PBE-GGA.

Cell: 5.440 5.440 5.440 Å, 103.48 103.48 122.26°
Fractional coordinates of all 8 atoms:
Nb (0.000, 0.000, 0.000)
Nb (0.750, 0.250, 0.500)
Ni (0.117, 0.125, 0.492)
Ni (0.375, 0.883, 0.008)
Ni (0.633, 0.625, 0.508)
Ni (0.875, 0.367, 0.992)
Pd (0.250, 0.750, 0.500)
Pd (0.500, 0.500, 0.000)

Results
**SG**: I-42d, No. 122

---

Which of them is most stable, and which least? Most stable: #x; least stable: #y.

---

#w
Crystalline NbNi2Pd3 at its relaxed geometry, computed with PBE-GGA.

Cell: 5.540 5.540 6.430 Å, 100.56 100.56 106.59°
Fractional coordinates of all 12 atoms:
Nb (0.056, 0.944, 0.750)
Nb (0.944, 0.056, 0.250)
Ni (0.089, 0.699, 0.381)
Ni (0.301, 0.911, 0.119)
Ni (0.699, 0.089, 0.881)
Ni (0.911, 0.301, 0.619)
Pd (0.206, 0.394, 0.056)
Pd (0.344, 0.656, 0.750)
Pd (0.394, 0.206, 0.556)
Pd (0.606, 0.794, 0.444)
Pd (0.656, 0.344, 0.250)
Pd (0.794, 0.606, 0.944)

Results
**SG**: C2/c, No. 15

---

#x
Crystalline NbNi2Pd3 at its relaxed geometry, computed with PBE-GGA.

Cell: 6.054 6.054 3.851 Å, 90.00 90.00 142.48°
Fractional coordinates of all 6 atoms:
Nb (0.000, 0.000, 0.000)
Ni (0.340, 0.660, 0.000)
Ni (0.660, 0.340, 0.000)
Pd (0.169, 0.831, 0.500)
Pd (0.500, 0.500, 0.500)
Pd (0.831, 0.169, 0.500)

Results
**SG**: Cmmm, No. 65

---

Which of them is most stable, and which least? Most stable: #x; least stable: #w.

---

#w
Crystalline NbNiPd6 at its relaxed geometry, computed with PBE-GGA.

Cell: 4.999 5.017 5.020 Å, 93.18 93.30 93.01°
Fractional coordinates of all 8 atoms:
Nb (0.000, 0.000, 0.000)
Ni (0.500, 0.500, 0.500)
Pd (0.031, 0.471, 0.748)
Pd (0.252, 0.965, 0.531)
Pd (0.472, 0.748, 0.033)
Pd (0.528, 0.252, 0.967)
Pd (0.748, 0.035, 0.469)
Pd (0.969, 0.529, 0.252)

Results
**SG**: P-1, No. 2

---

#x
Crystalline NbNiPd6 at its relaxed geometry, computed with PBE-GGA.

Cell: 6.813 6.259 4.767 Å, 74.96 62.53 42.51°
Fractional coordinates of all 8 atoms:
Nb (0.000, 0.000, 0.000)
Ni (0.500, 0.500, 0.500)
Pd (0.121, 0.121, 0.379)
Pd (0.251, 0.251, 0.749)
Pd (0.379, 0.379, 0.121)
Pd (0.621, 0.621, 0.879)
Pd (0.749, 0.749, 0.251)
Pd (0.879, 0.879, 0.621)

Results
**SG**: Fmmm, No. 69

---

Which of them is most stable, and which least? Most stable: #x; least stable: #w.